No. 1
DFT (PBE-GGA) results for a relaxed structure of CsLi2Ca.

Computed properties:
The distance to the lowest polymorph of the same formula is 214 meV/atom. For the energy of formation from the pure elements, the calculation gives 0.361 eV per atom. The density of states at the Fermi level is 0.9958 states/eV per atom.

Unit cell a=9.578 b=9.578 c=7.827 alpha=90.00 beta=90.00 gamma=90.00
Space group I-42d (No. 122)
Inequivalent atoms, fractional coordinates:
Cs: 0.000 0.000 0.000 x4
Li: 0.228 0.250 0.625 x8
Ca: 0.000 0.000 0.500 x4

---

No. 2
DFT (PBE-GGA) results for a relaxed structure of ZnSi2Br.

Computed properties:
The distance to the lowest polymorph of the same formula is 502 meV/atom. The density of states at the Fermi level is 0.2873 states/eV per atom. As for the raw formation energy: 0.568 eV/atom.

Unit cell a=3.160 b=3.160 c=7.508 alpha=90.00 beta=90.00 gamma=90.00
Space group P4/mmm (No. 123)
Inequivalent atoms, fractional coordinates:
Zn: 0.000 0.000 0.000 x1
Si: 0.500 0.500 0.220 x2
Br: 0.000 0.000 0.500 x1

---

No. 3
DFT (PBE-GGA) results for a relaxed structure of CaPrAsSe.

Computed properties:
As for the raw formation energy: -1.687 eV/atom.

Unit cell a=4.2940 b=4.2940 c=20.9453 alpha=90.00 beta=90.00 gamma=120.00
Space group R3m (No. 160, hexagonal axes)
Inequivalent atoms, fractional coordinates:
Ca: 0.0000 0.0000 0.0000 x3
Pr: 0.0000 0.0000 0.5074 x3
As: 0.0000 0.0000 0.2515 x3
Se: 0.0000 0.0000 0.7514 x3

---

No. 4
DFT (PBE-GGA) results for a relaxed structure of Ti7Te2C2.

Computed properties:
The density of states at the Fermi level is 0.9199 states/eV per atom. As for the raw formation energy: -0.230 eV/atom.

Unit cell a=6.567 b=9.607 c=6.881 alpha=90.00 beta=102.73 gamma=90.00
Space group C2/m (No. 12)
Inequivalent atoms, fractional coordinates:
Ti: 0.000 0.000 0.000 x2
Ti: 0.083 0.500 0.825 x4
Ti: 0.199 0.291 0.168 x8
Te: 0.000 0.307 0.500 x4
C: 0.227 0.500 0.128 x4

---

No. 5
DFT (PBE-GGA) results for a relaxed structure of DyPuCu2Se4.

Computed properties:
The density of states at the Fermi level is 1.1818 states/eV per atom. As for the raw formation energy: -0.921 eV/atom.

Unit cell a=6.831 b=6.929 c=7.701 alpha=90.00 beta=90.00 gamma=90.00
Space group I222 (No. 23)
Inequivalent atoms, fractional coordinates:
Dy: 0.000 0.000 0.000 x2
Pu: 0.000 0.000 0.500 x2
Cu: 0.000 0.500 0.333 x4
Se: 0.246 0.231 0.793 x8

---

No. 6
DFT (PBE-GGA) results for a relaxed structure of Sc5In2RuPt2.

Computed properties:
For the energy of formation from the pure elements, the calculation gives -0.757 eV per atom. The density of states at the Fermi level is 0.4029 states/eV per atom.

Unit cell a=11.241 b=11.241 c=3.274 alpha=90.00 beta=90.00 gamma=90.00
Space group P4/mbm (No. 127)
Inequivalent atoms, fractional coordinates:
Sc: 0.000 0.500 0.000 x2
Sc: 0.063 0.188 0.000 x8
In: 0.174 0.674 0.500 x4
Ru: 0.000 0.000 0.500 x2
Pt: 0.134 0.366 0.500 x4

---

No. 7
DFT (PBE-GGA) results for a relaxed structure of LaMg2.

Computed properties:
For the energy of formation from the pure elements, the calculation gives -0.009 eV per atom. The density of states at the Fermi level is 0.7244 states/eV per atom.

Unit cell a=9.805 b=6.197 c=5.540 alpha=90.00 beta=90.00 gamma=90.00
Space group Cmcm (No. 63)
Inequivalent atoms, fractional coordinates:
La: 0.000 0.165 0.250 x4
Mg: 0.161 0.355 0.750 x8

---

No. 8
DFT (PBE-GGA) results for a relaxed structure of RbInGa2Mo.

Computed properties:
For the energy of formation from the pure elements, the calculation gives 0.985 eV per atom. The density of states at the Fermi level is 0.8779 states/eV per atom.

Unit cell a=5.465 b=5.465 c=5.537 alpha=90.00 beta=90.00 gamma=90.00
Space group P4/mmm (No. 123)
Inequivalent atoms, fractional coordinates:
Rb: 0.000 0.000 0.000 x1
In: 0.500 0.500 0.500 x1
Ga: 0.000 0.500 0.500 x2
Mo: 0.500 0.500 0.000 x1

---

No. 9
DFT (PBE-GGA) results for a relaxed structure of SrTa2Nb.

Computed properties:
The distance to the lowest polymorph of the same formula is 445 meV/atom. For the energy of formation from the pure elements, the calculation gives 1.444 eV per atom. The density of states at the Fermi level is 1.2364 states/eV per atom.

Unit cell a=4.787 b=4.787 c=19.325 alpha=90.00 beta=90.00 gamma=90.00
Space group I-42d (No. 122)
Inequivalent atoms, fractional coordinates:
Sr: 0.000 0.000 0.000 x4
Ta: 0.108 0.250 0.625 x8
Nb: 0.000 0.000 0.500 x4

---

No. 10
DFT (PBE-GGA) results for a relaxed structure of CuHgSe2.

Computed properties:
The density of states at the Fermi level is 0.5389 states/eV per atom. As for the raw formation energy: -0.043 eV/atom.

Unit cell a=3.8279 b=3.8279 c=7.0668 alpha=90.00 beta=90.00 gamma=120.00
Space group P3m1 (No. 156)
Inequivalent atoms, fractional coordinates:
Cu: 0.0000 0.0000 0.0000 x1
Hg: 0.3333 0.6667 0.4708 x1
Se: 0.3333 0.6667 0.8393 x1
Se: 0.6667 0.3333 0.2150 x1

---

No. 11
DFT (PBE-GGA) results for a relaxed structure of Ce2MgPb3.

Computed properties:
The distance to the lowest polymorph of the same formula is 211 meV/atom. For the energy of formation from the pure elements, the calculation gives -0.148 eV per atom. The density of states at the Fermi level is 2.0721 states/eV per atom.

Unit cell a=5.099 b=6.534 c=11.321 alpha=90.00 beta=90.00 gamma=90.00
Space group Immm (No. 71)
Inequivalent atoms, fractional coordinates:
Ce: 0.000 0.000 0.179 x4
Mg: 0.000 0.000 0.500 x2
Pb: 0.000 0.500 0.152 x4
Pb: 0.000 0.500 0.500 x2

---

No. 12
DFT (PBE-GGA) results for a relaxed structure of ZnPb2Se.

Computed properties:
The distance to the lowest polymorph of the same formula is 44 meV/atom. The density of states at the Fermi level is 0.4715 states/eV per atom. As for the raw formation energy: -0.110 eV/atom.

Unit cell a=4.289 b=4.289 c=6.013 alpha=90.00 beta=90.00 gamma=90.00
Space group P4/mmm (No. 123)
Inequivalent atoms, fractional coordinates:
Zn: 0.000 0.000 0.000 x1
Pb: 0.000 0.000 0.500 x1
Pb: 0.500 0.500 0.000 x1
Se: 0.500 0.500 0.500 x1

---

No. 13
DFT (PBE-GGA) results for a relaxed structure of Sr2YCu2Bi2O8.

Computed properties:
The distance to the lowest polymorph of the same formula is 35 meV/atom. The density of states at the Fermi level is 0.1873 states/eV per atom. As for the raw formation energy: -1.778 eV/atom.

Unit cell a=3.793 b=3.793 c=30.764 alpha=90.00 beta=90.00 gamma=90.00
Space group I4/mmm (No. 139)
Inequivalent atoms, fractional coordinates:
Sr: 0.000 0.000 0.114 x4
Y: 0.000 0.000 0.000 x2
Cu: 0.000 0.000 0.448 x4
Bi: 0.000 0.000 0.297 x4
O: 0.000 0.000 0.201 x4
O: 0.000 0.000 0.366 x4
O: 0.000 0.500 0.048 x8

---

No. 14
DFT (PBE-GGA) results for a relaxed structure of HfB2Mo2.

Computed properties:
The distance to the lowest polymorph of the same formula is 156 meV/atom. For the energy of formation from the pure elements, the calculation gives -0.326 eV per atom. The density of states at the Fermi level is 0.3986 states/eV per atom.

Unit cell a=4.298 b=3.190 c=9.657 alpha=90.00 beta=98.40 gamma=90.00
Space group P2_1/m (No. 11)
Inequivalent atoms, fractional coordinates:
Hf: 0.199 0.250 0.240 x2
B: 0.110 0.750 0.022 x2
B: 0.315 0.250 0.667 x2
Mo: 0.247 0.750 0.493 x2
Mo: 0.349 0.250 0.907 x2

---

No. 15
DFT (PBE-GGA) results for a relaxed structure of LiHoNpN3.

Computed properties:
The density of states at the Fermi level is 0.6656 states/eV per atom. As for the raw formation energy: -1.158 eV/atom.

Unit cell a=5.969 b=3.472 c=7.892 alpha=90.00 beta=90.89 gamma=90.00
Space group P2_1/m (No. 11)
Inequivalent atoms, fractional coordinates:
Li: 0.211 0.250 0.019 x2
Ho: 0.428 0.750 0.691 x2
Np: 0.076 0.750 0.323 x2
N: 0.072 0.750 0.809 x2
N: 0.239 0.250 0.501 x2
N: 0.369 0.750 0.189 x2

---

No. 16
DFT (PBE-GGA) results for a relaxed structure of SrPr2TcN4.

Computed properties:
The density of states at the Fermi level is 0.4232 states/eV per atom. As for the raw formation energy: -0.787 eV/atom.

Unit cell a=3.566 b=12.548 c=12.528 alpha=90.00 beta=90.00 gamma=90.00
Space group Cmcm (No. 63)
Inequivalent atoms, fractional coordinates:
Sr: 0.000 0.066 0.250 x4
Pr: 0.000 0.370 0.041 x8
Tc: 0.000 0.188 0.750 x4
N: 0.000 0.000 0.000 x4
N: 0.000 0.262 0.622 x8
N: 0.000 0.403 0.250 x4

---

No. 17
DFT (PBE-GGA) results for a relaxed structure of Dy2ZnSiPt6.

Computed properties:
The density of states at the Fermi level is 0.4513 states/eV per atom. As for the raw formation energy: -0.508 eV/atom.

Unit cell a=9.255 b=9.255 c=9.255 alpha=90.00 beta=90.00 gamma=90.00
Space group Fm-3m (No. 225)
Inequivalent atoms, fractional coordinates:
Dy: 0.250 0.250 0.250 x8
Zn: 0.000 0.000 0.000 x4
Si: 0.000 0.000 0.500 x4
Pt: 0.000 0.000 0.256 x24

---

No. 18
DFT (PBE-GGA) results for a relaxed structure of LaMn.

Computed properties:
For the energy of formation from the pure elements, the calculation gives 0.139 eV per atom. The density of states at the Fermi level is 0.9734 states/eV per atom.

Unit cell a=3.8278 b=3.8278 c=23.8877 alpha=90.00 beta=90.00 gamma=120.00
Space group P-3m1 (No. 164)
Inequivalent atoms, fractional coordinates:
La: 0.0000 0.0000 0.0902 x2
La: 0.3333 0.6667 0.5763 x2
La: 0.3333 0.6667 0.7566 x2
Mn: 0.0000 0.0000 0.3253 x2
Mn: 0.3333 0.6667 0.3419 x2
Mn: 0.3333 0.6667 0.9917 x2

---

No. 19
DFT (PBE-GGA) results for a relaxed structure of Th6GeP3Se2.

Computed properties:
The density of states at the Fermi level is 0.6173 states/eV per atom. As for the raw formation energy: -1.461 eV/atom.

Unit cell a=18.326 b=4.194 c=8.398 alpha=90.00 beta=103.96 gamma=90.00
Space group C2/m (No. 12)
Inequivalent atoms, fractional coordinates:
Th: 0.004 0.000 0.246 x4
Th: 0.161 0.500 0.094 x4
Th: 0.168 0.500 0.569 x4
Ge: 0.000 0.500 0.500 x2
P: 0.000 0.500 0.000 x2
P: 0.167 0.000 0.332 x4
Se: 0.168 0.000 0.834 x4

---

No. 20
DFT (PBE-GGA) results for a relaxed structure of BeIn2Si2.

Computed properties:
The density of states at the Fermi level is 0.4799 states/eV per atom. As for the raw formation energy: 0.381 eV/atom.

Unit cell a=6.043 b=6.043 c=5.306 alpha=90.00 beta=90.00 gamma=90.00
Space group P4/mbm (No. 127)
Inequivalent atoms, fractional coordinates:
Be: 0.000 0.000 0.000 x2
In: 0.198 0.302 0.500 x4
Si: 0.142 0.642 0.000 x4

---

No. 21
DFT (PBE-GGA) results for a relaxed structure of KSb2Mo.

Computed properties:
The distance to the lowest polymorph of the same formula is 331 meV/atom. The density of states at the Fermi level is 0.7313 states/eV per atom. As for the raw formation energy: 0.246 eV/atom.

Unit cell a=6.654 b=6.654 c=15.511 alpha=90.00 beta=90.00 gamma=90.00
Space group I-42d (No. 122)
Inequivalent atoms, fractional coordinates:
K: 0.000 0.000 0.000 x4
Sb: 0.003 0.250 0.625 x8
Mo: 0.000 0.000 0.500 x4

---

No. 22
DFT (PBE-GGA) results for a relaxed structure of CeDy2Er3S6.

Computed properties:
The density of states at the Fermi level is 0.7881 states/eV per atom. As for the raw formation energy: -1.987 eV/atom.

Unit cell a=17.029 b=3.889 c=7.848 alpha=90.00 beta=103.47 gamma=90.00
Space group C2/m (No. 12)
Inequivalent atoms, fractional coordinates:
Ce: 0.000 0.000 0.000 x2
Dy: 0.165 0.500 0.329 x4
Er: 0.000 0.000 0.500 x2
Er: 0.165 0.500 0.835 x4
S: 0.001 0.500 0.740 x4
S: 0.167 0.000 0.586 x4
S: 0.171 0.000 0.083 x4

---

No. 23
DFT (PBE-GGA) results for a relaxed structure of TeAuSe2.

Computed properties:
The distance to the lowest polymorph of the same formula is 72 meV/atom. The density of states at the Fermi level is 0.7499 states/eV per atom. As for the raw formation energy: 0.102 eV/atom.

Unit cell a=3.9741 b=3.9741 c=24.5136 alpha=90.00 beta=90.00 gamma=120.00
Space group R-3m (No. 166, hexagonal axes)
Inequivalent atoms, fractional coordinates:
Te: 0.0000 0.0000 0.0000 x3
Au: 0.0000 0.0000 0.5000 x3
Se: 0.0000 0.0000 0.1099 x6